## ZrGaRh (PBE)

Data for a geometry-optimized ZrGaRh structure.

Calculated values
The calculation puts the formation enthalpy at 0 K at -830 meV per atom. Its crystal system is hexagonal.

Cell and atoms, written as CIF:
```
data_ZrGaRh
_space_group_name_H-M_alt 'P -6 2 m'
_space_group_IT_number 189
_space_group_name_Hall 'P -6 -2'
_cell_length_a 7.3197
_cell_length_b 7.3197
_cell_length_c 3.3395
_cell_angle_alpha 90.00
_cell_angle_beta 90.00
_cell_angle_gamma 120.00
loop_
_atom_site_label
_atom_site_type_symbol
_atom_site_fract_x
_atom_site_fract_y
_atom_site_fract_z
_atom_site_occupancy
Zr1 Zr 0.0000 0.3924 0.0000 1
Ga1 Ga 0.0000 0.7268 0.5000 1
Rh1 Rh 0.0000 0.0000 0.0000 1
Rh2 Rh 0.3333 0.6667 0.5000 1
```

---

## LiTlNiAu (PBE)

Data for a geometry-optimized LiTlNiAu structure.

Calculated values
The calculation puts the formation enthalpy at 0 K at -140 meV per atom. Its crystal system is cubic.

Cell and atoms, written as CIF:
```
data_LiTlNiAu
_space_group_name_H-M_alt 'F -4 3 m'
_space_group_IT_number 216
_space_group_name_Hall 'F -4 2 3'
_cell_length_a 6.3638
_cell_length_b 6.3638
_cell_length_c 6.3638
_cell_angle_alpha 90.00
_cell_angle_beta 90.00
_cell_angle_gamma 90.00
loop_
_atom_site_label
_atom_site_type_symbol
_atom_site_fract_x
_atom_site_fract_y
_atom_site_fract_z
_atom_site_occupancy
Li1 Li 0.0000 0.0000 0.0000 1
Tl1 Tl 0.2500 0.2500 0.7500 1
Ni1 Ni 0.0000 0.0000 0.5000 1
Au1 Au 0.2500 0.2500 0.2500 1
```

---

## La3Tb2Tm5 (PBE)

Data for a geometry-optimized La3Tb2Tm5 structure.

Calculated values
The calculation puts the formation enthalpy at 0 K at 191 meV per atom. Its crystal system is monoclinic.

Cell and atoms, written as CIF:
```
data_La3Tb2Tm5
_space_group_name_H-M_alt 'C 1 2/c 1'
_space_group_IT_number 15
_space_group_name_Hall '-C 2yc'
_cell_length_a 10.5845
_cell_length_b 16.3335
_cell_length_c 9.3059
_cell_angle_alpha 90.00
_cell_angle_beta 124.61
_cell_angle_gamma 90.00
loop_
_atom_site_label
_atom_site_type_symbol
_atom_site_fract_x
_atom_site_fract_y
_atom_site_fract_z
_atom_site_occupancy
La1 La 0.0000 0.2364 0.2500 1
La2 La 0.1444 0.1259 0.0470 1
Tb1 Tb 0.1502 0.3841 0.5449 1
Tm1 Tm 0.0000 0.0252 0.2500 1
Tm2 Tm 0.0000 0.2745 0.7500 1
Tm3 Tm 0.0000 0.4707 0.7500 1
Tm4 Tm 0.2384 0.3895 0.2281 1
```

---

## Pu4BiPb3 (PBE)

Data for a geometry-optimized Pu4BiPb3 structure.

Calculated values
The calculation puts the formation enthalpy at 0 K at -153 meV per atom. Its crystal system is orthorhombic.

Cell and atoms, written as CIF:
```
data_Pu4BiPb3
_space_group_name_H-M_alt 'P m m m'
_space_group_IT_number 47
_space_group_name_Hall '-P 2 2'
_cell_length_a 4.5974
_cell_length_b 4.9174
_cell_length_c 10.0371
_cell_angle_alpha 90.00
_cell_angle_beta 90.00
_cell_angle_gamma 90.00
loop_
_atom_site_label
_atom_site_type_symbol
_atom_site_fract_x
_atom_site_fract_y
_atom_site_fract_z
_atom_site_occupancy
Pu1 Pu 0.0000 0.0000 0.0000 1
Pu2 Pu 0.0000 0.0000 0.5000 1
Pu3 Pu 0.0000 0.5000 0.2391 1
Bi1 Bi 0.5000 0.5000 0.5000 1
Pb1 Pb 0.5000 0.0000 0.2470 1
Pb2 Pb 0.5000 0.5000 0.0000 1
```

---

## NaErSnPb (PBE)

Data for a geometry-optimized NaErSnPb structure.

Calculated values
The calculation puts the formation enthalpy at 0 K at -268 meV per atom. Its crystal system is cubic.

Cell and atoms, written as CIF:
```
data_NaErSnPb
_space_group_name_H-M_alt 'F -4 3 m'
_space_group_IT_number 216
_space_group_name_Hall 'F -4 2 3'
_cell_length_a 7.5841
_cell_length_b 7.5841
_cell_length_c 7.5841
_cell_angle_alpha 90.00
_cell_angle_beta 90.00
_cell_angle_gamma 90.00
loop_
_atom_site_label
_atom_site_type_symbol
_atom_site_fract_x
_atom_site_fract_y
_atom_site_fract_z
_atom_site_occupancy
Na1 Na 0.0000 0.0000 0.0000 1
Er1 Er 0.0000 0.0000 0.5000 1
Sn1 Sn 0.2500 0.2500 0.2500 1
Pb1 Pb 0.2500 0.2500 0.7500 1
```

---

## La2PmUP4 (PBE)

Data for a geometry-optimized La2PmUP4 structure.

Calculated values
The calculation puts the formation enthalpy at 0 K at -1404 meV per atom. Its crystal system is monoclinic.

Cell and atoms, written as CIF:
```
data_La2PmUP4
_space_group_name_H-M_alt 'P 1 2/m 1'
_space_group_IT_number 10
_space_group_name_Hall '-P 2y'
_cell_length_a 7.1651
_cell_length_b 4.1275
_cell_length_c 7.2063
_cell_angle_alpha 90.00
_cell_angle_beta 109.15
_cell_angle_gamma 90.00
loop_
_atom_site_label
_atom_site_type_symbol
_atom_site_fract_x
_atom_site_fract_y
_atom_site_fract_z
_atom_site_occupancy
La1 La 0.0000 0.0000 0.0000 1
La2 La 0.5000 0.5000 0.0000 1
Pm1 Pm 0.0000 0.5000 0.5000 1
U1 U 0.5000 0.0000 0.5000 1
P1 P 0.2563 0.0000 0.7346 1
P2 P 0.2648 0.5000 0.2697 1
```

---

## KRe3P (PBE)

Data for a geometry-optimized KRe3P structure.

Calculated values
The calculation puts the formation enthalpy at 0 K at 1394 meV per atom. Its crystal system is cubic.

Cell and atoms, written as CIF:
```
data_KRe3P
_space_group_name_H-M_alt 'P m -3 m'
_space_group_IT_number 221
_space_group_name_Hall '-P 4 2 3'
_cell_length_a 4.5378
_cell_length_b 4.5378
_cell_length_c 4.5378
_cell_angle_alpha 90.00
_cell_angle_beta 90.00
_cell_angle_gamma 90.00
loop_
_atom_site_label
_atom_site_type_symbol
_atom_site_fract_x
_atom_site_fract_y
_atom_site_fract_z
_atom_site_occupancy
K1 K 0.0000 0.0000 0.0000 1
Re1 Re 0.0000 0.5000 0.5000 1
P1 P 0.5000 0.5000 0.5000 1
```

---

## CsScIn2Cu (PBE)

Data for a geometry-optimized CsScIn2Cu structure.

Calculated values
The calculation puts the formation enthalpy at 0 K at 553 meV per atom. Its crystal system is tetragonal.

Cell and atoms, written as CIF:
```
data_CsScIn2Cu
_space_group_name_H-M_alt 'P 4/m m m'
_space_group_IT_number 123
_space_group_name_Hall '-P 4 2'
_cell_length_a 5.1206
_cell_length_b 5.1206
_cell_length_c 5.7157
_cell_angle_alpha 90.00
_cell_angle_beta 90.00
_cell_angle_gamma 90.00
loop_
_atom_site_label
_atom_site_type_symbol
_atom_site_fract_x
_atom_site_fract_y
_atom_site_fract_z
_atom_site_occupancy
Cs1 Cs 0.0000 0.0000 0.0000 1
Sc1 Sc 0.5000 0.5000 0.0000 1
In1 In 0.0000 0.5000 0.5000 1
Cu1 Cu 0.0000 0.0000 0.5000 1
```

---

## K2BeMo (PBE)

Data for a geometry-optimized K2BeMo structure.

Calculated values
The calculation puts the formation enthalpy at 0 K at 1565 meV per atom. Its crystal system is cubic.

Cell and atoms, written as CIF:
```
data_K2BeMo
_space_group_name_H-M_alt 'F -4 3 m'
_space_group_IT_number 216
_space_group_name_Hall 'F -4 2 3'
_cell_length_a 7.5955
_cell_length_b 7.5955
_cell_length_c 7.5955
_cell_angle_alpha 90.00
_cell_angle_beta 90.00
_cell_angle_gamma 90.00
loop_
_atom_site_label
_atom_site_type_symbol
_atom_site_fract_x
_atom_site_fract_y
_atom_site_fract_z
_atom_site_occupancy
K1 K 0.0000 0.0000 0.0000 1
K2 K 0.2500 0.2500 0.2500 1
Be1 Be 0.0000 0.0000 0.5000 1
Mo1 Mo 0.2500 0.2500 0.7500 1
```

---

## Ni5Ge2 (PBE)

Data for a geometry-optimized Ni5Ge2 structure.

Calculated values
The calculation puts the energy above the most stable polymorph in this dataset at 0.000 eV per atom. The calculation puts the formation enthalpy at 0 K at -281 meV per atom. Its crystal system is hexagonal.

Cell and atoms, written as CIF:
```
data_Ni5Ge2
_space_group_name_H-M_alt 'P 63 c m'
_space_group_IT_number 185
_space_group_name_Hall 'P 6c -2'
_cell_length_a 6.8166
_cell_length_b 6.8166
_cell_length_c 12.4101
_cell_angle_alpha 90.00
_cell_angle_beta 90.00
_cell_angle_gamma 120.00
loop_
_atom_site_label
_atom_site_type_symbol
_atom_site_fract_x
_atom_site_fract_y
_atom_site_fract_z
_atom_site_occupancy
Ni1 Ni 0.0000 0.0000 0.0000 1
Ni2 Ni 0.0000 0.2735 0.3273 1
Ni3 Ni 0.0000 0.3075 0.1215 1
Ni4 Ni 0.0000 0.3699 0.5231 1
Ni5 Ni 0.0000 0.3732 0.7333 1
Ni6 Ni 0.3333 0.6667 0.3564 1
Ge1 Ge 0.0000 0.0000 0.2043 1
Ge2 Ge 0.0000 0.3293 0.9284 1
Ge3 Ge 0.3333 0.6667 0.1472 1
```

---

## Re2OsF (PBE)

Data for a geometry-optimized Re2OsF structure.

Calculated values
The calculation puts the energy above the most stable polymorph in this dataset at 0.000 eV per atom. Its crystal system is cubic.

Cell and atoms, written as CIF:
```
data_Re2OsF
_space_group_name_H-M_alt 'F m -3 m'
_space_group_IT_number 225
_space_group_name_Hall '-F 4 2 3'
_cell_length_a 6.0613
_cell_length_b 6.0613
_cell_length_c 6.0613
_cell_angle_alpha 90.00
_cell_angle_beta 90.00
_cell_angle_gamma 90.00
loop_
_atom_site_label
_atom_site_type_symbol
_atom_site_fract_x
_atom_site_fract_y
_atom_site_fract_z
_atom_site_occupancy
Re1 Re 0.2500 0.2500 0.2500 1
Os1 Os 0.0000 0.0000 0.0000 1
F1 F 0.0000 0.0000 0.5000 1
```

---

## PmAl2Ag3 (PBE)

Data for a geometry-optimized PmAl2Ag3 structure.

Calculated values
The calculation puts the energy above the most stable polymorph in this dataset at 0.013 eV per atom. The calculation puts the formation enthalpy at 0 K at -230 meV per atom. Its crystal system is monoclinic.

Cell and atoms, written as CIF:
```
data_PmAl2Ag3
_space_group_name_H-M_alt 'C 1 2/m 1'
_space_group_IT_number 12
_space_group_name_Hall '-C 2y'
_cell_length_a 16.5740
_cell_length_b 4.3148
_cell_length_c 7.7676
_cell_angle_alpha 90.00
_cell_angle_beta 116.83
_cell_angle_gamma 90.00
loop_
_atom_site_label
_atom_site_type_symbol
_atom_site_fract_x
_atom_site_fract_y
_atom_site_fract_z
_atom_site_occupancy
Pm1 Pm 0.1467 0.0000 0.0700 1
Al1 Al 0.0180 0.5000 0.1743 1
Al2 Al 0.1976 0.0000 0.6964 1
Ag1 Ag 0.0379 0.0000 0.3716 1
Ag2 Ag 0.1053 0.5000 0.7035 1
Ag3 Ag 0.1844 0.5000 0.4447 1
```

---

## NdSbH (PBE)

Data for a geometry-optimized NdSbH structure.

Calculated values
The calculation puts the energy above the most stable polymorph in this dataset at 0.452 eV per atom. Its crystal system is tetragonal.

Cell and atoms, written as CIF:
```
data_NdSbH
_space_group_name_H-M_alt 'I 4 m m'
_space_group_IT_number 107
_space_group_name_Hall 'I 4 -2'
_cell_length_a 4.4677
_cell_length_b 4.4677
_cell_length_c 7.5353
_cell_angle_alpha 90.00
_cell_angle_beta 90.00
_cell_angle_gamma 90.00
loop_
_atom_site_label
_atom_site_type_symbol
_atom_site_fract_x
_atom_site_fract_y
_atom_site_fract_z
_atom_site_occupancy
Nd1 Nd 0.0000 0.0000 0.0000 1
Sb1 Sb 0.0000 0.0000 0.4258 1
H1 H 0.0000 0.0000 0.7014 1
```

---

## Dy4Tl2Pb (PBE)

Data for a geometry-optimized Dy4Tl2Pb structure.

Calculated values
The calculation puts the energy above the most stable polymorph in this dataset at 0.000 eV per atom. The calculation puts the formation enthalpy at 0 K at -339 meV per atom. Its crystal system is tetragonal.

Cell and atoms, written as CIF:
```
data_Dy4Tl2Pb
_space_group_name_H-M_alt 'I -4 2 d'
_space_group_IT_number 122
_space_group_name_Hall 'I -4 2bw'
_cell_length_a 9.3491
_cell_length_b 9.3491
_cell_length_c 9.3825
_cell_angle_alpha 90.00
_cell_angle_beta 90.00
_cell_angle_gamma 90.00
loop_
_atom_site_label
_atom_site_type_symbol
_atom_site_fract_x
_atom_site_fract_y
_atom_site_fract_z
_atom_site_occupancy
Dy1 Dy 0.0728 0.6775 0.4466 1
Tl1 Tl 0.1221 0.7500 0.1250 1
Pb1 Pb 0.0000 0.0000 0.5000 1
```

---

## Pm2Y6Tm3Sc (PBE)

Data for a geometry-optimized Pm2Y6Tm3Sc structure.

Calculated values
The calculation puts the formation enthalpy at 0 K at 33 meV per atom. Its crystal system is monoclinic.

Cell and atoms, written as CIF:
```
data_Pm2Y6Tm3Sc
_space_group_name_H-M_alt 'C 1 2/m 1'
_space_group_IT_number 12
_space_group_name_Hall '-C 2y'
_cell_length_a 6.1266
_cell_length_b 10.6050
_cell_length_c 11.7416
_cell_angle_alpha 90.00
_cell_angle_beta 99.99
_cell_angle_gamma 90.00
loop_
_atom_site_label
_atom_site_type_symbol
_atom_site_fract_x
_atom_site_fract_y
_atom_site_fract_z
_atom_site_occupancy
Pm1 Pm 0.0000 0.1666 0.0000 1
Y1 Y 0.2470 0.5000 0.7486 1
Y2 Y 0.2486 0.3348 0.2511 1
Tm1 Tm 0.0000 0.0000 0.5000 1
Tm2 Tm 0.0000 0.3338 0.5000 1
Sc1 Sc 0.0000 0.5000 0.0000 1
```

---

Number 1: total magnetic moment 0.00 Bohr magnetons per cell, N(E_F) 0.5311 states/eV per atom. Number 2: total magnetic moment 0.00 Bohr magnetons per cell, N(E_F) 0.3889 states/eV per atom. Number 3: total magnetic moment 0.00 Bohr magnetons per cell, N(E_F) 1.6158 states/eV per atom. Number 4: total magnetic moment 12.15 Bohr magnetons per cell, N(E_F) 4.9511 states/eV per atom. Number 5: total magnetic moment 0.00 Bohr magnetons per cell, N(E_F) 0.7613 states/eV per atom. Number 6: total magnetic moment 2.07 Bohr magnetons per cell, N(E_F) 0.9858 states/eV per atom. Number 7: total magnetic moment 0.00 Bohr magnetons per cell, N(E_F) 1.1186 states/eV per atom. Number 8: total magnetic moment 0.03 Bohr magnetons per cell, N(E_F) 1.2197 states/eV per atom. Number 9: total magnetic moment 14.41 Bohr magnetons per cell, N(E_F) 1.0211 states/eV per atom. Number 10: total magnetic moment 0.00 Bohr magnetons per cell, N(E_F) 0.7696 states/eV per atom. Number 11: total magnetic moment 0.00 Bohr magnetons per cell, N(E_F) 0.7431 states/eV per atom. Number 12: total magnetic moment 0.00 Bohr magnetons per cell, N(E_F) 0.6160 states/eV per atom. Number 13: total magnetic moment 0.00 Bohr magnetons per cell, N(E_F) 0.4662 states/eV per atom. Number 14: total magnetic moment 0.00 Bohr magnetons per cell, N(E_F) 0.8525 states/eV per atom. Number 15: total magnetic moment 0.00 Bohr magnetons per cell, N(E_F) 1.4686 states/eV per atom.